DFT (PBE) results for a relaxed Rb4Mg3SnF12 crystal.

```
Rb4Mg3SnF12
1.0
-4.2886 4.2886 4.2886
4.2886 -4.2886 4.2886
4.2886 4.2886 -4.2886
Rb Mg Sn F
4 3 1 12
direct
0.0000 0.0000 0.5000
0.0000 0.5000 0.0000
0.5000 0.0000 0.0000
0.5000 0.5000 0.5000
0.0000 0.5000 0.5000
0.5000 0.0000 0.5000
0.5000 0.5000 0.0000
0.0000 0.0000 0.0000
0.0000 0.2730 0.2730
0.0000 0.7270 0.7270
0.2500 0.5000 0.7500
0.2500 0.7500 0.5000
0.2730 0.0000 0.2730
0.2730 0.2730 0.0000
0.5000 0.2500 0.7500
0.5000 0.7500 0.2500
0.7270 0.0000 0.7270
0.7270 0.7270 0.0000
0.7500 0.2500 0.5000
0.7500 0.5000 0.2500
```

Summary:
The value obtained for the uncorrected formation energy is -3.0364 eV per atom. For the total energy, the calculation gives -95.8 eV/cell. As for the density of states at the Fermi level: 0.00 states/eV/atom. As for the space-group type: Im-3m, No. 229.